Run a
Computed, not measured: a relaxed structure of Li2NbCr3O8 at the PBE+U level of DFT.

Unit cell a=8.5391 b=8.5391 c=8.5391 alpha=90.00 beta=90.00 gamma=90.00
Positions (direct):
Li: 0.0052 0.4948 0.5052
Li: 0.2448 0.7448 0.7552
Li: 0.2552 0.2552 0.2552
Li: 0.4948 0.5052 0.0052
Li: 0.5052 0.0052 0.4948
Li: 0.7448 0.7552 0.2448
Li: 0.7552 0.2448 0.7448
Li: 0.9948 0.9948 0.9948
Nb: 0.1250 0.8750 0.3750
Nb: 0.3750 0.1250 0.8750
Nb: 0.6250 0.6250 0.6250
Nb: 0.8750 0.3750 0.1250
Cr: 0.1222 0.1278 0.6250
Cr: 0.1250 0.3778 0.8722
Cr: 0.1278 0.6250 0.1222
Cr: 0.3722 0.3750 0.6222
Cr: 0.3750 0.6222 0.3722
Cr: 0.3778 0.8722 0.1250
Cr: 0.6222 0.3722 0.3750
Cr: 0.6250 0.1222 0.1278
Cr: 0.6278 0.8750 0.8778
Cr: 0.8722 0.1250 0.3778
Cr: 0.8750 0.8778 0.6278
Cr: 0.8778 0.6278 0.8750
O: 0.1104 0.6104 0.8896
O: 0.1118 0.3858 0.1145
O: 0.1142 0.8855 0.6118
O: 0.1145 0.1118 0.3858
O: 0.1355 0.8642 0.1382
O: 0.1358 0.6382 0.3645
O: 0.1382 0.1355 0.8642
O: 0.1396 0.3604 0.6396
O: 0.3604 0.6396 0.1396
O: 0.3618 0.8645 0.3642
O: 0.3642 0.3618 0.8645
O: 0.3645 0.1358 0.6382
O: 0.3855 0.8882 0.8858
O: 0.3858 0.1145 0.1118
O: 0.3882 0.6142 0.6145
O: 0.3896 0.3896 0.3896
O: 0.6104 0.8896 0.1104
O: 0.6118 0.1142 0.8855
O: 0.6142 0.6145 0.3882
O: 0.6145 0.3882 0.6142
O: 0.6355 0.6358 0.8618
O: 0.6358 0.8618 0.6355
O: 0.6382 0.3645 0.1358
O: 0.6396 0.1396 0.3604
O: 0.8604 0.8604 0.8604
O: 0.8618 0.6355 0.6358
O: 0.8642 0.1382 0.1355
O: 0.8645 0.3642 0.3618
O: 0.8855 0.6118 0.1142
O: 0.8858 0.3855 0.8882
O: 0.8882 0.8858 0.3855
O: 0.8896 0.1104 0.6104

Summary:
**Crystal system**: cubic
**Magnetization**: 0.64 μB per atom
**Space-group type**: No. 212


Run b
Computed, not measured: a relaxed structure of Li2NbCr3O8 at the PBE+U level of DFT.

Unit cell a=5.9841 b=5.9841 c=9.6270 alpha=90.00 beta=90.00 gamma=120.00
Positions (direct):
Li: 0.0000 0.0000 0.0000
Li: 0.0000 0.0000 0.5000
Li: 0.3333 0.6667 0.4091
Li: 0.6667 0.3333 0.9091
Nb: 0.3333 0.6667 0.0002
Nb: 0.6667 0.3333 0.5002
Cr: 0.1701 0.3401 0.7225
Cr: 0.1701 0.8299 0.7225
Cr: 0.3401 0.1701 0.2225
Cr: 0.6599 0.8299 0.7225
Cr: 0.8299 0.1701 0.2225
Cr: 0.8299 0.6599 0.2225
O: 0.0000 0.0000 0.3147
O: 0.0000 0.0000 0.8147
O: 0.0394 0.5197 0.8485
O: 0.1668 0.3336 0.1008
O: 0.1668 0.8332 0.1008
O: 0.3333 0.6667 0.6158
O: 0.3336 0.1668 0.6008
O: 0.4803 0.5197 0.8485
O: 0.4803 0.9606 0.8485
O: 0.5197 0.0394 0.3485
O: 0.5197 0.4803 0.3485
O: 0.6664 0.8332 0.1008
O: 0.6667 0.3333 0.1158
O: 0.8332 0.1668 0.6008
O: 0.8332 0.6664 0.6008
O: 0.9606 0.4803 0.3485

Summary:
**Crystal system**: hexagonal
**Magnetization**: 0.64 μB per atom
**Space-group type**: No. 186


Most stable: run b